(1)
The following is a PBEsol calculation of K5Br4Cl after structural relaxation, from Alexandria.

Output
**Spin magnetization**: 0.0 μB per cell
**Calculated total energy**: -65.66 eV for the cell shown
**Formation energy from raw total energies**: -1768 meV/atom

Unit cell a=10.246 b=10.246 c=6.489 alpha=90.00 beta=90.00 gamma=90.00
Space group I4/m (No. 87)
Asymmetric unit:
K 0.000 0.000 0.000 x2
K 0.097 0.292 0.500 x8
Br 0.098 0.300 0.000 x8
Cl 0.000 0.000 0.500 x2

***

(2)
The following is a PBEsol calculation of K3BrCl2 after structural relaxation, from Alexandria.

Output
**Spin magnetization**: 0.0 μB per cell
**Calculated total energy**: -20.49 eV for the cell shown
**Formation energy from raw total energies**: -1867 meV/atom

Unit cell a=4.4744 b=4.4744 c=11.0237 alpha=90.00 beta=90.00 gamma=120.00
Space group P-3m1 (No. 164)
Asymmetric unit:
K 0.0000 0.0000 0.0000 x1
K 0.3333 0.6667 0.6776 x2
Br 0.0000 0.0000 0.5000 x1
Cl 0.3333 0.6667 0.1613 x2

***

(3)
The following is a PBEsol calculation of K2BrCl after structural relaxation, from Alexandria.

Output
**Spin magnetization**: 0.0 μB per cell
**Calculated total energy**: -52.98 eV for the cell shown
**Formation energy from raw total energies**: -1775 meV/atom

Unit cell a=7.678 b=7.678 c=7.678 alpha=90.00 beta=90.00 gamma=90.00
Space group Fm-3m (No. 225)
Asymmetric unit:
K 0.250 0.250 0.250 x8
Br 0.000 0.000 0.000 x4
Cl 0.000 0.000 0.500 x4